No. 1
The following is a DFT calculation (GGA-PBE) of a geometry-optimized SmPuInAg structure.

Results
total moment = 5.94 μB/cell
ΔH_f (0 K) = -0.143 eV per atom
V = 26.8 A^3/atom
DFT total energy = -6.303 eV per atom

Cell: 5.330 5.330 5.330 Å, 60.00 60.00 60.00°
Each line ends with the local moment (μB).
Fractional positions:
Pu  0.000  0.000  0.000  5.43
In  0.750  0.750  0.750  -0.01
Sm  0.500  0.500  0.500  0.10
Ag  0.250  0.250  0.250  0.03

***

No. 2
The following is a DFT calculation (GGA-PBE) of a geometry-optimized PuInAgSn structure.

Results
total moment = 5.72 μB/cell
ΔH_f (0 K) = -0.164 eV per atom
V = 24.2 A^3/atom
energy above the most stable polymorph in this dataset = 0.0 meV per atom
DFT total energy = -6.145 eV per atom

Cell: 4.482 4.519 4.777 Å, 90.00 90.00 90.00°
Each line ends with the local moment (μB).
Fractional positions:
In  0.000  0.500  0.500  0.03
Ag  0.500  0.000  0.500  0.04
Sn  0.000  0.000  0.000  0.01
Pu  0.500  0.500  0.000  5.32

***

No. 3
The following is a DFT calculation (GGA-PBE) of a geometry-optimized PuInAgSn structure.

Results
total moment = 5.84 μB/cell
ΔH_f (0 K) = -0.087 eV per atom
V = 24.2 A^3/atom
energy above the most stable polymorph in this dataset = 77.1 meV per atom
DFT total energy = -6.068 eV per atom

Cell: 5.156 5.156 5.156 Å, 60.00 60.00 60.00°
Each line ends with the local moment (μB).
Fractional positions:
In  0.000  0.000  0.000  0.00
Pu  0.500  0.500  0.500  5.47
Ag  0.750  0.750  0.750  0.01
Sn  0.250  0.250  0.250  0.05

***

What did the second record say?
The following is a DFT calculation (GGA-PBE) of a geometry-optimized PuInAgSn structure.

Results
total moment = 5.72 μB/cell
ΔH_f (0 K) = -0.164 eV per atom
V = 24.2 A^3/atom
energy above the most stable polymorph in this dataset = 0.0 meV per atom
DFT total energy = -6.145 eV per atom

Cell: 4.482 4.519 4.777 Å, 90.00 90.00 90.00°
Each line ends with the local moment (μB).
Fractional positions:
In  0.000  0.500  0.500  0.03
Ag  0.500  0.000  0.500  0.04
Sn  0.000  0.000  0.000  0.01
Pu  0.500  0.500  0.000  5.32

***

Q: V of number 3 (PuInAgSn)?
A: 24.2 A^3/atom

***

Q: Among the records above, which one has the highest DFT total energy?
A: number 3